VASP calculation (GGA+U) on a geometry-optimized CrBrF structure.

```
CrBrF
1.0
3.9535 0.0000 0.0000
0.0000 5.6158 0.0000
-0.0017 0.0000 5.6243
Cr Br F
2 2 2
direct
0.0011 0.2500 0.2505 Cr
0.9989 0.7500 0.7495 Cr
0.9995 0.2500 0.7505 Br
0.0005 0.7500 0.2495 Br
0.4990 0.7500 0.7493 F
0.5010 0.2500 0.2507 F
```

Summary:
Space group: P2_1/m
Total magnetization in μB/cell: 8.0
E in eV for the cell shown: -32.0

VASP calculation (GGA+U) on a geometry-optimized CrBrF structure.

```
CrBrF
1.0
3.6096 0.0000 0.0000
-1.8048 3.1260 0.0000
0.0000 0.0000 5.5388
Cr Br F
1 1 1
direct
0.0000 0.0000 0.0000 Cr
0.6667 0.3333 0.2936 Br
0.3333 0.6667 0.8557 F
```

Summary:
Space group: P3m1
Total magnetization in μB/cell: 4.0
E in eV for the cell shown: -15.3

VASP calculation (GGA+U) on a geometry-optimized Cr2Br3F structure.

```
Cr2Br3F
1.0
9.8072 -1.7857 0.0000
9.8072 1.7857 0.0000
-3.5817 0.0000 9.6357
Cr Br F
4 6 2
direct
0.0898 0.0898 0.2622 Cr
0.3579 0.3579 0.0126 Cr
0.6421 0.6421 0.9874 Cr
0.9102 0.9102 0.7378 Cr
0.0744 0.0744 0.8120 Br
0.2219 0.2219 0.1517 Br
0.3816 0.3816 0.5503 Br
0.6184 0.6184 0.4497 Br
0.7781 0.7781 0.8483 Br
0.9256 0.9256 0.1880 Br
0.4242 0.4242 0.8626 F
0.5758 0.5758 0.1374 F
```

Summary:
Space group: C2/m
Total magnetization in μB/cell: 16.0
E in eV for the cell shown: -58.8

VASP calculation (GGA+U) on a geometry-optimized CrGaBr2F structure.

```
CrGaBr2F
1.0
5.5001 0.0000 0.0000
0.0000 5.5001 0.0000
0.0000 0.0000 3.9757
Cr Ga Br F
1 1 2 1
direct
0.0000 0.0000 0.0000 Cr
0.5000 0.5000 0.5000 Ga
0.0000 0.5000 0.0000 Br
0.5000 0.0000 0.0000 Br
0.0000 0.0000 0.5000 F
```

Summary:
Space group: P4/mmm
Total magnetization in μB/cell: 4.0
E in eV for the cell shown: -21.8

VASP calculation (GGA+U) on a geometry-optimized HfCr2BrF structure.

```
HfCr2BrF
1.0
4.1578 0.0000 0.0000
0.0000 4.1578 0.0000
0.0000 0.0000 5.5918
Hf Cr Br F
1 2 1 1
direct
0.0000 0.0000 0.0000 Hf
0.0000 0.5000 0.5000 Cr
0.5000 0.0000 0.5000 Cr
0.5000 0.5000 0.0000 Br
0.5000 0.5000 0.5000 F
```

Summary:
Space group: P4/mmm
Total magnetization in μB/cell: 7.3
E in eV for the cell shown: -28.8

VASP calculation (GGA+U) on a geometry-optimized CrHgBrF2 structure.

```
CrHgBrF2
1.0
4.0823 0.0000 0.0000
0.0000 4.0823 0.0000
0.0000 0.0000 6.3086
Cr Hg Br F
1 1 1 2
direct
0.0000 0.0000 0.0000 Cr
0.5000 0.5000 0.5000 Hg
0.0000 0.0000 0.5000 Br
0.0000 0.5000 0.0000 F
0.5000 0.0000 0.0000 F
```

Summary:
Space group: P4/mmm
Total magnetization in μB/cell: 4.0
E in eV for the cell shown: -20.9

VASP calculation (GGA+U) on a geometry-optimized CrHgBr2F structure.

```
CrHgBr2F
1.0
5.4420 0.0000 0.0000
0.0000 5.4420 0.0000
0.0000 0.0000 3.9634
Cr Hg Br F
1 1 2 1
direct
0.0000 0.0000 0.0000 Cr
0.5000 0.5000 0.5000 Hg
0.0000 0.5000 0.0000 Br
0.5000 0.0000 0.0000 Br
0.0000 0.0000 0.5000 F
```

Summary:
Space group: P4/mmm
Total magnetization in μB/cell: 3.7
E in eV for the cell shown: -18.1

VASP calculation (GGA+U) on a geometry-optimized CrInBrF2 structure.

```
CrInBrF2
1.0
4.2563 0.0000 0.0000
0.0000 4.2563 0.0000
0.0000 0.0000 5.8686
Cr In Br F
1 1 1 2
direct
0.0000 0.0000 0.0000 Cr
0.5000 0.5000 0.5000 In
0.0000 0.0000 0.5000 Br
0.0000 0.5000 0.0000 F
0.5000 0.0000 0.0000 F
```

Summary:
Space group: P4/mmm
Total magnetization in μB/cell: 4.0
E in eV for the cell shown: -23.9

VASP calculation (GGA+U) on a geometry-optimized CrInBr2F structure.

```
CrInBr2F
1.0
5.5887 0.0000 0.0000
0.0000 5.5887 0.0000
0.0000 0.0000 4.0048
Cr In Br F
1 1 2 1
direct
0.0000 0.0000 0.0000 Cr
0.5000 0.5000 0.5000 In
0.0000 0.5000 0.0000 Br
0.5000 0.0000 0.0000 Br
0.0000 0.0000 0.5000 F
```

Summary:
Space group: P4/mmm
Total magnetization in μB/cell: 4.0
E in eV for the cell shown: -21.8

VASP calculation (GGA+U) on a geometry-optimized KCrBr2F structure.

```
KCrBr2F
1.0
5.5679 0.0000 0.0000
0.0000 5.5679 0.0000
0.0000 0.0000 4.0345
K Cr Br F
1 1 2 1
direct
0.0000 0.0000 0.0000 K
0.5000 0.5000 0.5000 Cr
0.0000 0.5000 0.5000 Br
0.5000 0.0000 0.5000 Br
0.5000 0.5000 0.0000 F
```

Summary:
Space group: P4/mmm
Total magnetization in μB/cell: 4.0
E in eV for the cell shown: -22.4

VASP calculation (GGA+U) on a geometry-optimized LaCrBrF2 structure.

```
LaCrBrF2
1.0
4.2127 0.0000 0.0000
0.0000 4.2127 0.0000
0.0000 0.0000 5.8324
La Cr Br F
1 1 1 2
direct
0.0000 0.0000 0.0000 La
0.5000 0.5000 0.5000 Cr
0.5000 0.5000 0.0000 Br
0.0000 0.5000 0.5000 F
0.5000 0.0000 0.5000 F
```

Summary:
Space group: P4/mmm
Total magnetization in μB/cell: 4.3
E in eV for the cell shown: -26.7

VASP calculation (GGA+U) on a geometry-optimized LiCrBrF2 structure.

```
LiCrBrF2
1.0
3.9661 0.0000 0.0000
0.0000 3.9661 0.0000
0.0000 0.0000 6.1708
Li Cr Br F
1 1 1 2
direct
0.0000 0.0000 0.0000 Li
0.5000 0.5000 0.5000 Cr
0.5000 0.5000 0.0000 Br
0.0000 0.5000 0.5000 F
0.5000 0.0000 0.5000 F
```

Summary:
Space group: P4/mmm
Total magnetization in μB/cell: 4.0
E in eV for the cell shown: -25.2

VASP calculation (GGA+U) on a geometry-optimized CrBrN2F structure.

```
CrBrN2F
1.0
4.0528 0.0000 0.0000
0.0000 4.0528 0.0000
0.0000 0.0000 3.9349
Cr Br N F
1 1 2 1
direct
0.0000 0.0000 0.0000 Cr
0.5000 0.5000 0.5000 Br
0.0000 0.5000 0.0000 N
0.5000 0.0000 0.0000 N
0.0000 0.0000 0.5000 F
```

Summary:
Space group: P4/mmm
Total magnetization in μB/cell: 0.0
E in eV for the cell shown: -25.2

VASP calculation (GGA+U) on a geometry-optimized CrBrN2F structure.

```
CrBrN2F
1.0
3.8457 0.0000 0.0000
0.0000 3.8457 0.0000
0.0000 0.0000 4.8307
Cr Br N F
1 1 2 1
direct
0.0000 0.0000 0.0000 Cr
0.5000 0.5000 0.5000 Br
0.0000 0.5000 0.5000 N
0.5000 0.0000 0.5000 N
0.5000 0.5000 0.0000 F
```

Summary:
Space group: P4/mmm
Total magnetization in μB/cell: 3.5
E in eV for the cell shown: -20.4

VASP calculation (GGA+U) on a geometry-optimized NaCrBr2F structure.

```
NaCrBr2F
1.0
5.4668 0.0000 0.0000
0.0000 5.4668 0.0000
0.0000 0.0000 3.9787
Na Cr Br F
1 1 2 1
direct
0.0000 0.0000 0.0000 Na
0.5000 0.5000 0.5000 Cr
0.0000 0.5000 0.5000 Br
0.5000 0.0000 0.5000 Br
0.5000 0.5000 0.0000 F
```

Summary:
Space group: P4/mmm
Total magnetization in μB/cell: 4.0
E in eV for the cell shown: -22.0

VASP calculation (GGA+U) on a geometry-optimized NaCrBrF2 structure.

```
NaCrBrF2
1.0
4.0612 0.0000 0.0000
0.0000 4.0612 0.0000
0.0000 0.0000 5.9953
Na Cr Br F
1 1 1 2
direct
0.0000 0.0000 0.0000 Na
0.5000 0.5000 0.5000 Cr
0.5000 0.5000 0.0000 Br
0.0000 0.5000 0.5000 F
0.5000 0.0000 0.5000 F
```

Summary:
Space group: P4/mmm
Total magnetization in μB/cell: 4.0
E in eV for the cell shown: -24.8

VASP calculation (GGA+U) on a geometry-optimized CrBrOF2 structure.

```
CrBrOF2
1.0
3.8842 0.0000 0.0000
0.0000 3.8842 0.0000
0.0000 0.0000 4.3199
Cr Br O F
1 1 1 2
direct
0.0000 0.0000 0.0000 Cr
0.5000 0.5000 0.5000 Br
0.0000 0.0000 0.5000 O
0.0000 0.5000 0.0000 F
0.5000 0.0000 0.0000 F
```

Summary:
Space group: P4/mmm
Total magnetization in μB/cell: 2.8
E in eV for the cell shown: -24.0

VASP calculation (GGA+U) on a geometry-optimized CrBrOF2 structure.

```
CrBrOF2
1.0
4.7592 0.0000 0.0000
0.0000 4.7592 0.0000
0.0000 0.0000 3.7504
Cr Br O F
1 1 1 2
direct
0.0000 0.0000 0.0000 Cr
0.5000 0.5000 0.5000 Br
0.5000 0.5000 0.0000 O
0.0000 0.5000 0.5000 F
0.5000 0.0000 0.5000 F
```

Summary:
Space group: P4/mmm
Total magnetization in μB/cell: 4.7
E in eV for the cell shown: -19.1

VASP calculation (GGA+U) on a geometry-optimized CrPb3Br2F6 structure.

```
CrPb3Br2F6
1.0
6.9912 -3.2288 0.0000
6.9912 3.2288 0.0000
-0.5982 0.0000 5.6973
Cr Pb Br F
1 3 2 6
direct
0.0000 0.0000 0.0000 Cr
0.0000 0.5000 0.0000 Pb
0.5000 0.0000 0.0000 Pb
0.5000 0.5000 0.5000 Pb
0.2956 0.2956 0.5711 Br
0.7044 0.7044 0.4289 Br
0.1232 0.1232 0.1841 F
0.1651 0.7220 0.1867 F
0.2780 0.8349 0.8133 F
0.7220 0.1651 0.1867 F
0.8349 0.2780 0.8133 F
0.8768 0.8768 0.8159 F
```

Summary:
Space group: C2/m
Total magnetization in μB/cell: 3.0
E in eV for the cell shown: -56.3

VASP calculation (GGA+U) on a geometry-optimized CrPt2BrF structure.

```
CrPt2BrF
1.0
4.9136 0.0000 0.0000
0.0000 4.9136 0.0000
0.0000 0.0000 3.8262
Cr Pt Br F
1 2 1 1
direct
0.0000 0.0000 0.0000 Cr
0.0000 0.5000 0.5000 Pt
0.5000 0.0000 0.5000 Pt
0.5000 0.5000 0.0000 Br
0.0000 0.0000 0.5000 F
```

Summary:
Space group: P4/mmm
Total magnetization in μB/cell: 4.0
E in eV for the cell shown: -21.1